1.
Pm5Sn3Pb3 after structural relaxation. Source: Alexandria via LeMat-Bulk, functional PBE.

abc: 10.0970 10.0970 4.3808
angles: 90.00 90.00 120.00
Space group P-62m (No. 189)
One atom of each set of equivalent atoms:
Pm1 0.0000 0.2245 0.0000 [3 per cell]
Pm2 0.3333 0.6667 0.0000 [2 per cell]
Sn1 0.0000 0.6401 0.0000 [3 per cell]
Pb1 0.0000 0.4454 0.5000 [3 per cell]

Output
* M_tot: 0.00 μB/f.u.
* E_tot: -4.466 eV per atom
* ΔH_f (0 K): -0.204 eV per atom
* calculated density: 7.31 Mg/m³

=====

2.
P2RhPb after structural relaxation. Source: Alexandria via LeMat-Bulk, functional PBE.

abc: 3.3682 3.3682 21.9742
angles: 90.00 90.00 120.00
Space group R3m (No. 160, hexagonal axes)
One atom of each set of equivalent atoms:
P1 0.0000 0.0000 0.0000 [3 per cell]
P2 0.0000 0.0000 0.2742 [3 per cell]
Rh1 0.0000 0.0000 0.7336 [3 per cell]
Pb1 0.0000 0.0000 0.5010 [3 per cell]

Output
* M_tot: 0.00 μB/f.u.
* E_tot: -5.429 eV per atom
* ΔH_f (0 K): 0.040 eV per atom
* calculated density: 8.58 Mg/m³

=====

3.
Rb3TlV2Cl9 after structural relaxation. Source: Alexandria via LeMat-Bulk, functional PBE.

abc: 7.1935 7.1935 10.0366
angles: 90.00 90.00 120.00
Space group P-3m1 (No. 164)
One atom of each set of equivalent atoms:
Rb1 0.0000 0.0000 0.0000 [1 per cell]
Rb2 0.3333 0.6667 0.7230 [2 per cell]
Tl1 0.0000 0.0000 0.5000 [1 per cell]
V1 0.3333 0.6667 0.1475 [2 per cell]
Cl1 0.0000 0.5000 0.0000 [3 per cell]
Cl2 0.1755 0.3509 0.2800 [6 per cell]

Output
* M_tot: 5.00 μB/f.u.
* formation energy (no corrections): -1.474 eV per atom
* E_tot: -4.149 eV per atom
* calculated density: 3.26 Mg/m³

=====

4.
Lu2CoPb after structural relaxation. Source: Alexandria via LeMat-Bulk, functional PBE.

abc: 3.340 3.340 7.977
angles: 90.00 90.00 90.00
Space group P4/mmm (No. 123)
One atom of each set of equivalent atoms:
Lu1 0.000 0.000 0.197 [2 per cell]
Co1 0.500 0.500 0.000 [1 per cell]
Pb1 0.500 0.500 0.500 [1 per cell]

Output
* M_tot: 0.00 μB/f.u.
* E above lowest polymorph: 0.0 kJ per mole of atoms
* E_tot: -5.298 eV per atom
* ΔH_f (0 K): -0.334 eV per atom
* calculated density: 11.50 Mg/m³

=====

5.
MnRu2Pb after structural relaxation. Source: Alexandria via LeMat-Bulk, functional PBE.

abc: 2.9830 2.9830 27.2287
angles: 90.00 90.00 120.00
Space group R3m (No. 160, hexagonal axes)
One atom of each set of equivalent atoms:
Mn1 0.0000 0.0000 0.0000 [3 per cell]
Ru1 0.0000 0.0000 0.4801 [3 per cell]
Ru2 0.0000 0.0000 0.7409 [3 per cell]
Pb1 0.0000 0.0000 0.2368 [3 per cell]

Output
* M_tot: 4.42 μB/f.u.
* E_tot: -7.258 eV per atom
* ΔH_f (0 K): 0.599 eV per atom
* calculated density: 11.02 Mg/m³

=====

6.
HoZrAu after structural relaxation. Source: Alexandria via LeMat-Bulk, functional PBE.

abc: 3.414 3.414 11.986
angles: 90.00 90.00 90.00
Space group I4mm (No. 107)
One atom of each set of equivalent atoms:
Ho1 0.000 0.000 0.000 [2 per cell]
Zr1 0.000 0.000 0.688 [2 per cell]
Au1 0.000 0.000 0.332 [2 per cell]

Output
* M_tot: 0.00 μB/f.u.
* E above lowest polymorph: 5.5 kJ per mole of atoms
* E_tot: -5.884 eV per atom
* ΔH_f (0 K): -0.416 eV per atom
* calculated density: 10.77 Mg/m³

=====

7.
VCd2Pd after structural relaxation. Source: Alexandria via LeMat-Bulk, functional PBE.

abc: 7.622 7.622 5.566
angles: 90.00 90.00 90.00
Space group I-42d (No. 122)
One atom of each set of equivalent atoms:
V1 0.000 0.000 0.000 [4 per cell]
Cd1 0.233 0.250 0.625 [8 per cell]
Pd1 0.000 0.000 0.500 [4 per cell]

Output
* M_tot: 3.30 μB/f.u.
* E_tot: -3.630 eV per atom
* ΔH_f (0 K): 0.406 eV per atom
* calculated density: 7.85 Mg/m³

=====

8.
Na2TaNi2S4 after structural relaxation. Source: Alexandria via LeMat-Bulk, functional PBE.

abc: 13.167 3.516 7.083
angles: 90.00 109.93 90.00
Space group C2/m (No. 12)
One atom of each set of equivalent atoms:
Na1 0.136 0.000 0.062 [4 per cell]
Ta1 0.000 0.000 0.500 [2 per cell]
Ni1 0.171 0.500 0.487 [4 per cell]
S1 0.010 0.500 0.250 [4 per cell]
S2 0.202 0.000 0.689 [4 per cell]

Output
* M_tot: 0.00 μB/f.u.
* formation energy (no corrections): -0.844 eV per atom
* E_tot: -5.573 eV per atom
* calculated density: 5.09 Mg/m³

=====

Number 1: calculated volume 387 Å³/cell. Number 2: calculated volume 216 Å³/cell. Number 3: calculated volume 450 Å³/cell. Number 4: calculated volume 89 Å³/cell. Number 5: calculated volume 210 Å³/cell. Number 6: calculated volume 140 Å³/cell. Number 7: calculated volume 323 Å³/cell. Number 8: calculated volume 308 Å³/cell.